# GGA-PBE TlRe2Sb, optimized geometry
# formation energy from raw total energies: 0.86 eV per atom
# energy above the lowest structure with this stoichiometry: 483 meV per atom
data_TlRe2Sb
_cell_length_a 3.013
_cell_length_b 4.707
_cell_length_c 11.344
_cell_angle_alpha 90.00
_cell_angle_beta 90.00
_cell_angle_gamma 90.00
_symmetry_space_group_name_H-M 'I m m 2'
_symmetry_Int_Tables_number 44
loop_
_symmetry_equiv_pos_as_xyz
'x,y,z'
'-x,-y,z'
'-x,y,z'
'x,-y,z'
'x+1/2,y+1/2,z+1/2'
'-x+1/2,-y+1/2,z+1/2'
'-x+1/2,y+1/2,z+1/2'
'x+1/2,-y+1/2,z+1/2'
loop_
_atom_site_label
_atom_site_fract_x
_atom_site_fract_y
_atom_site_fract_z
Tl1 0.000 0.000 0.000
Re1 0.000 0.000 0.489
Re2 0.000 0.500 0.805
Sb1 0.000 0.500 0.214